Material: CaHgSe2
Method: DFT, GGA-PBE
State: optimized geometry

a = 8.137 Å, b = 8.137 Å, c = 8.137 Å
α = 32.76°, β = 32.76°, γ = 32.76°
Fractional coordinates of all 4 atoms:
Se 0.893 0.893 0.893
Se 0.107 0.107 0.107
Ca 0.500 0.500 0.500
Hg 0.000 0.000 0.000

The value obtained for the density of states at the Fermi level is 0.00 states/eV/atom. As for the total energy: -13.4 eV per formula unit. Its magnetization is 0.00 μB/f.u. The crystal system is trigonal. Its volume is 35.1 A^3/atom. As for the space-group type: R-3m, No. 166.